one:
# PBE-GGA InHPb3, relaxed
data_InHPb3
_space_group_name_H-M_alt 'P m -3 m'
_space_group_IT_number 221
_space_group_name_Hall '-P 4 2 3'
_cell_length_a 5.8504
_cell_length_b 5.8504
_cell_length_c 5.8504
_cell_angle_alpha 90.00
_cell_angle_beta 90.00
_cell_angle_gamma 90.00
loop_
_atom_site_label
_atom_site_type_symbol
_atom_site_fract_x
_atom_site_fract_y
_atom_site_fract_z
In1 In 0.0000 0.0000 0.0000
H1 H 0.5000 0.5000 0.5000
Pb1 Pb 0.0000 0.0000 0.5000
# crystal system	cubic
# total magnetic moment	0.902	μB/f.u.

two:
# PBE-GGA InHPb3, relaxed
data_InHPb3
_space_group_name_H-M_alt 'P m -3 m'
_space_group_IT_number 221
_space_group_name_Hall '-P 4 2 3'
_cell_length_a 5.0254
_cell_length_b 5.0254
_cell_length_c 5.0254
_cell_angle_alpha 90.00
_cell_angle_beta 90.00
_cell_angle_gamma 90.00
loop_
_atom_site_label
_atom_site_type_symbol
_atom_site_fract_x
_atom_site_fract_y
_atom_site_fract_z
In1 In 0.0000 0.0000 0.0000
H1 H 0.5000 0.5000 0.5000
Pb1 Pb 0.0000 0.5000 0.5000
# crystal system	cubic
# total magnetic moment	0.000	μB/f.u.

It turns out two is the most stable, with the second structure 741 meV per atom higher.

one:
# PBE-GGA In2SnHPb, relaxed
data_In2SnHPb
_space_group_name_H-M_alt 'P 4/m m m'
_space_group_IT_number 123
_space_group_name_Hall '-P 4 2'
_cell_length_a 4.9357
_cell_length_b 4.9357
_cell_length_c 4.8712
_cell_angle_alpha 90.00
_cell_angle_beta 90.00
_cell_angle_gamma 90.00
loop_
_atom_site_label
_atom_site_type_symbol
_atom_site_fract_x
_atom_site_fract_y
_atom_site_fract_z
In1 In 0.0000 0.5000 0.0000
Sn1 Sn 0.0000 0.0000 0.5000
H1 H 0.5000 0.5000 0.0000
Pb1 Pb 0.5000 0.5000 0.5000
# crystal system	tetragonal
# total magnetic moment	0.000	μB/f.u.

two:
# PBE-GGA In2SnHPb, relaxed
data_In2SnHPb
_space_group_name_H-M_alt 'P 4/m m m'
_space_group_IT_number 123
_space_group_name_Hall '-P 4 2'
_cell_length_a 5.0087
_cell_length_b 5.0087
_cell_length_c 4.6913
_cell_angle_alpha 90.00
_cell_angle_beta 90.00
_cell_angle_gamma 90.00
loop_
_atom_site_label
_atom_site_type_symbol
_atom_site_fract_x
_atom_site_fract_y
_atom_site_fract_z
In1 In 0.0000 0.5000 0.0000
Sn1 Sn 0.0000 0.0000 0.5000
H1 H 0.0000 0.0000 0.0000
Pb1 Pb 0.5000 0.5000 0.5000
# crystal system	tetragonal
# total magnetic moment	0.000	μB/f.u.

It turns out two is the most stable, with the second structure 11 meV per atom higher.

one:
# PBE-GGA InH2Pd, relaxed
data_InH2Pd
_space_group_name_H-M_alt 'F m -3 m'
_space_group_IT_number 225
_space_group_name_Hall '-F 4 2 3'
_cell_length_a 5.6780
_cell_length_b 5.6780
_cell_length_c 5.6780
_cell_angle_alpha 90.00
_cell_angle_beta 90.00
_cell_angle_gamma 90.00
loop_
_atom_site_label
_atom_site_type_symbol
_atom_site_fract_x
_atom_site_fract_y
_atom_site_fract_z
In1 In 0.0000 0.0000 0.0000
H1 H 0.2500 0.2500 0.2500
Pd1 Pd 0.0000 0.0000 0.5000
# crystal system	cubic
# total magnetic moment	0.000	μB/f.u.

two:
# PBE-GGA InH2Pd, relaxed
data_InH2Pd
_space_group_name_H-M_alt 'I -4 2 d'
_space_group_IT_number 122
_space_group_name_Hall 'I -4 2bw'
_cell_length_a 5.0154
_cell_length_b 5.0154
_cell_length_c 8.2477
_cell_angle_alpha 90.00
_cell_angle_beta 90.00
_cell_angle_gamma 90.00
loop_
_atom_site_label
_atom_site_type_symbol
_atom_site_fract_x
_atom_site_fract_y
_atom_site_fract_z
In1 In 0.0000 0.0000 0.0000
H1 H 0.1228 0.2500 0.6250
Pd1 Pd 0.0000 0.0000 0.5000
# crystal system	tetragonal
# total magnetic moment	0.000	μB/f.u.

It turns out two is the most stable, with the second structure 485 meV per atom higher.

one:
# PBE-GGA InHPd, relaxed
data_InHPd
_space_group_name_H-M_alt 'P -6 m 2'
_space_group_IT_number 187
_space_group_name_Hall 'P -6 2'
_cell_length_a 3.3067
_cell_length_b 3.3067
_cell_length_c 4.3486
_cell_angle_alpha 90.00
_cell_angle_beta 90.00
_cell_angle_gamma 120.00
loop_
_atom_site_label
_atom_site_type_symbol
_atom_site_fract_x
_atom_site_fract_y
_atom_site_fract_z
In1 In 0.0000 0.0000 0.0000
H1 H 0.3333 0.6667 0.5000
Pd1 Pd 0.6667 0.3333 0.5000
# crystal system	hexagonal
# total magnetic moment	0.000	μB/f.u.

two:
# PBE-GGA InHPd, relaxed
data_InHPd
_space_group_name_H-M_alt 'C 1 2/m 1'
_space_group_IT_number 12
_cell_length_a 10.2641
_cell_length_b 3.4748
_cell_length_c 5.8728
_cell_angle_alpha 90.00
_cell_angle_beta 124.71
_cell_angle_gamma 90.00
loop_
_space_group_symop_operation_xyz
'x,y,z'
'-x,-y,-z'
'-x,y,-z'
'x,-y,z'
'x+1/2,y+1/2,z'
'-x+1/2,-y+1/2,-z'
'-x+1/2,y+1/2,-z'
'x+1/2,-y+1/2,z'
loop_
_atom_site_label
_atom_site_type_symbol
_atom_site_fract_x
_atom_site_fract_y
_atom_site_fract_z
In1 In 0.2117 0.0000 0.2128
H1 H 0.0019 0.0000 0.6917
Pd1 Pd 0.0008 0.5000 0.7459
# crystal system	monoclinic
# total magnetic moment	0.000	μB/f.u.

It turns out two is the most stable, with the second structure 53 meV per atom higher.

one:
# PBE-GGA In2HPd, relaxed
data_In2HPd
_space_group_name_H-M_alt 'F m -3 m'
_space_group_IT_number 225
_space_group_name_Hall '-F 4 2 3'
_cell_length_a 6.4857
_cell_length_b 6.4857
_cell_length_c 6.4857
_cell_angle_alpha 90.00
_cell_angle_beta 90.00
_cell_angle_gamma 90.00
loop_
_atom_site_label
_atom_site_type_symbol
_atom_site_fract_x
_atom_site_fract_y
_atom_site_fract_z
In1 In 0.2500 0.2500 0.2500
H1 H 0.0000 0.0000 0.0000
Pd1 Pd 0.0000 0.0000 0.5000
# crystal system	cubic
# total magnetic moment	0.000	μB/f.u.

two:
# PBE-GGA In2HPd, relaxed
data_In2HPd
_space_group_name_H-M_alt 'I -4 2 d'
_space_group_IT_number 122
_space_group_name_Hall 'I -4 2bw'
_cell_length_a 5.1895
_cell_length_b 5.1895
_cell_length_c 12.4704
_cell_angle_alpha 90.00
_cell_angle_beta 90.00
_cell_angle_gamma 90.00
loop_
_atom_site_label
_atom_site_type_symbol
_atom_site_fract_x
_atom_site_fract_y
_atom_site_fract_z
In1 In 0.1739 0.2500 0.1250
H1 H 0.0000 0.0000 0.0000
Pd1 Pd 0.0000 0.0000 0.5000
# crystal system	tetragonal
# total magnetic moment	0.000	μB/f.u.

It turns out one is the most stable, with the second structure 36 meV per atom higher.

one:
# PBE-GGA InHPd2Pt, relaxed
data_InHPd2Pt
_space_group_name_H-M_alt 'P 4/m m m'
_space_group_IT_number 123
_space_group_name_Hall '-P 4 2'
_cell_length_a 4.1135
_cell_length_b 4.1135
_cell_length_c 4.0386
_cell_angle_alpha 90.00
_cell_angle_beta 90.00
_cell_angle_gamma 90.00
loop_
_atom_site_label
_atom_site_type_symbol
_atom_site_fract_x
_atom_site_fract_y
_atom_site_fract_z
In1 In 0.0000 0.0000 0.0000
H1 H 0.5000 0.5000 0.5000
Pd1 Pd 0.0000 0.5000 0.5000
Pt1 Pt 0.5000 0.5000 0.0000
# crystal system	tetragonal
# total magnetic moment	0.000	μB/f.u.

two:
# PBE-GGA InHPd2Pt, relaxed
data_InHPd2Pt
_space_group_name_H-M_alt 'P 4/m m m'
_space_group_IT_number 123
_space_group_name_Hall '-P 4 2'
_cell_length_a 3.9385
_cell_length_b 3.9385
_cell_length_c 4.4577
_cell_angle_alpha 90.00
_cell_angle_beta 90.00
_cell_angle_gamma 90.00
loop_
_atom_site_label
_atom_site_type_symbol
_atom_site_fract_x
_atom_site_fract_y
_atom_site_fract_z
In1 In 0.0000 0.0000 0.0000
H1 H 0.0000 0.0000 0.5000
Pd1 Pd 0.0000 0.5000 0.5000
Pt1 Pt 0.5000 0.5000 0.0000
# crystal system	tetragonal
# total magnetic moment	0.000	μB/f.u.

It turns out one is the most stable, with the second structure 178 meV per atom higher.

one:
# PBE-GGA InHPd2Rh, relaxed
data_InHPd2Rh
_space_group_name_H-M_alt 'P 4/m m m'
_space_group_IT_number 123
_space_group_name_Hall '-P 4 2'
_cell_length_a 3.8877
_cell_length_b 3.8877
_cell_length_c 4.5012
_cell_angle_alpha 90.00
_cell_angle_beta 90.00
_cell_angle_gamma 90.00
loop_
_atom_site_label
_atom_site_type_symbol
_atom_site_fract_x
_atom_site_fract_y
_atom_site_fract_z
In1 In 0.0000 0.0000 0.0000
H1 H 0.0000 0.0000 0.5000
Pd1 Pd 0.0000 0.5000 0.5000
Rh1 Rh 0.5000 0.5000 0.0000
# crystal system	tetragonal
# total magnetic moment	0.000	μB/f.u.

two:
# PBE-GGA InHPd2Rh, relaxed
data_InHPd2Rh
_space_group_name_H-M_alt 'P 4/m m m'
_space_group_IT_number 123
_space_group_name_Hall '-P 4 2'
_cell_length_a 4.0484
_cell_length_b 4.0484
_cell_length_c 4.0685
_cell_angle_alpha 90.00
_cell_angle_beta 90.00
_cell_angle_gamma 90.00
loop_
_atom_site_label
_atom_site_type_symbol
_atom_site_fract_x
_atom_site_fract_y
_atom_site_fract_z
In1 In 0.0000 0.0000 0.0000
H1 H 0.5000 0.5000 0.5000
Pd1 Pd 0.0000 0.5000 0.5000
Rh1 Rh 0.5000 0.5000 0.0000
# crystal system	tetragonal
# total magnetic moment	0.000	μB/f.u.

It turns out two is the most stable, with the second structure 222 meV per atom higher.

one:
# PBE-GGA InHPdRh2, relaxed
data_InHPdRh2
_space_group_name_H-M_alt 'P 4/m m m'
_space_group_IT_number 123
_space_group_name_Hall '-P 4 2'
_cell_length_a 4.0529
_cell_length_b 4.0529
_cell_length_c 3.9884
_cell_angle_alpha 90.00
_cell_angle_beta 90.00
_cell_angle_gamma 90.00
loop_
_atom_site_label
_atom_site_type_symbol
_atom_site_fract_x
_atom_site_fract_y
_atom_site_fract_z
In1 In 0.0000 0.0000 0.0000
H1 H 0.5000 0.5000 0.5000
Pd1 Pd 0.5000 0.5000 0.0000
Rh1 Rh 0.0000 0.5000 0.5000
# crystal system	tetragonal
# total magnetic moment	0.000	μB/f.u.

two:
# PBE-GGA InHPdRh2, relaxed
data_InHPdRh2
_space_group_name_H-M_alt 'P 4/m m m'
_space_group_IT_number 123
_space_group_name_Hall '-P 4 2'
_cell_length_a 3.9034
_cell_length_b 3.9034
_cell_length_c 4.3567
_cell_angle_alpha 90.00
_cell_angle_beta 90.00
_cell_angle_gamma 90.00
loop_
_atom_site_label
_atom_site_type_symbol
_atom_site_fract_x
_atom_site_fract_y
_atom_site_fract_z
In1 In 0.0000 0.0000 0.0000
H1 H 0.0000 0.0000 0.5000
Pd1 Pd 0.5000 0.5000 0.0000
Rh1 Rh 0.0000 0.5000 0.5000
# crystal system	tetragonal
# total magnetic moment	0.003	μB/f.u.

It turns out one is the most stable, with the second structure 168 meV per atom higher.

one:
# PBE-GGA Pm3InH, relaxed
data_Pm3InH
_space_group_name_H-M_alt 'C 1 2/m 1'
_space_group_IT_number 12
_cell_length_a 12.8267
_cell_length_b 3.6989
_cell_length_c 11.4240
_cell_angle_alpha 90.00
_cell_angle_beta 101.93
_cell_angle_gamma 90.00
loop_
_space_group_symop_operation_xyz
'x,y,z'
'-x,-y,-z'
'-x,y,-z'
'x,-y,z'
'x+1/2,y+1/2,z'
'-x+1/2,-y+1/2,-z'
'-x+1/2,y+1/2,-z'
'x+1/2,-y+1/2,z'
loop_
_atom_site_label
_atom_site_type_symbol
_atom_site_fract_x
_atom_site_fract_y
_atom_site_fract_z
Pm1 Pm 0.0492 0.0000 0.3642
Pm2 Pm 0.1210 0.0000 0.9246
Pm3 Pm 0.1901 0.5000 0.6432
In1 In 0.1339 0.5000 0.1588
H1 H 0.1023 0.0000 0.5660
# crystal system	monoclinic
# total magnetic moment	0.000	μB/f.u.

two:
# PBE-GGA Pm3InH, relaxed
data_Pm3InH
_space_group_name_H-M_alt 'P m -3 m'
_space_group_IT_number 221
_space_group_name_Hall '-P 4 2 3'
_cell_length_a 4.9786
_cell_length_b 4.9786
_cell_length_c 4.9786
_cell_angle_alpha 90.00
_cell_angle_beta 90.00
_cell_angle_gamma 90.00
loop_
_atom_site_label
_atom_site_type_symbol
_atom_site_fract_x
_atom_site_fract_y
_atom_site_fract_z
Pm1 Pm 0.0000 0.0000 0.5000
In1 In 0.5000 0.5000 0.5000
H1 H 0.0000 0.0000 0.0000
# crystal system	cubic
# total magnetic moment	1.214	μB/f.u.

It turns out two is the most stable, with the second structure 33 meV per atom higher.

one:
# PBE-GGA Pm4In2H, relaxed
data_Pm4In2H
_space_group_name_H-M_alt 'P 1 21/m 1'
_space_group_IT_number 11
_cell_length_a 6.2779
_cell_length_b 6.8598
_cell_length_c 9.3226
_cell_angle_alpha 90.00
_cell_angle_beta 106.46
_cell_angle_gamma 90.00
loop_
_space_group_symop_operation_xyz
'x,y,z'
'-x,-y,-z'
'-x,y+1/2,-z'
'x,-y+1/2,z'
loop_
_atom_site_label
_atom_site_type_symbol
_atom_site_fract_x
_atom_site_fract_y
_atom_site_fract_z
Pm1 Pm 0.1819 0.2500 0.0659
Pm2 Pm 0.2685 0.5022 0.7270
Pm3 Pm 0.2754 0.7500 0.3705
In1 In 0.2152 0.2500 0.4154
In2 In 0.3476 0.7500 0.0414
H1 H 0.0782 0.2500 0.8023
# crystal system	monoclinic
# total magnetic moment	0.000	μB/f.u.

two:
# PBE-GGA Pm4In2H, relaxed
data_Pm4In2H
_space_group_name_H-M_alt 'I 4/m m m'
_space_group_IT_number 139
_space_group_name_Hall '-I 4 2'
_cell_length_a 4.7340
_cell_length_b 4.7340
_cell_length_c 17.1669
_cell_angle_alpha 90.00
_cell_angle_beta 90.00
_cell_angle_gamma 90.00
loop_
_atom_site_label
_atom_site_type_symbol
_atom_site_fract_x
_atom_site_fract_y
_atom_site_fract_z
Pm1 Pm 0.0000 0.0000 0.1778
Pm2 Pm 0.0000 0.5000 0.0000
In1 In 0.0000 0.0000 0.3639
H1 H 0.0000 0.0000 0.0000
# crystal system	tetragonal
# total magnetic moment	0.000	μB/f.u.

It turns out one is the most stable, with the second structure 25 meV per atom higher.

one:
# PBE-GGA Pr3InH, relaxed
data_Pr3InH
_space_group_name_H-M_alt 'P m -3 m'
_space_group_IT_number 221
_space_group_name_Hall '-P 4 2 3'
_cell_length_a 5.0582
_cell_length_b 5.0582
_cell_length_c 5.0582
_cell_angle_alpha 90.00
_cell_angle_beta 90.00
_cell_angle_gamma 90.00
loop_
_atom_site_label
_atom_site_type_symbol
_atom_site_fract_x
_atom_site_fract_y
_atom_site_fract_z
Pr1 Pr 0.0000 0.0000 0.5000
In1 In 0.5000 0.5000 0.5000
H1 H 0.0000 0.0000 0.0000
# crystal system	cubic
# total magnetic moment	1.176	μB/f.u.

two:
# PBE-GGA Pr3InH, relaxed
data_Pr3InH
_space_group_name_H-M_alt 'C m c e'
_space_group_IT_number 64
_space_group_name_Hall '-C 2ac 2'
_cell_length_a 9.9455
_cell_length_b 16.0994
_cell_length_c 6.8361
_cell_angle_alpha 90.00
_cell_angle_beta 90.00
_cell_angle_gamma 90.00
loop_
_atom_site_label
_atom_site_type_symbol
_atom_site_fract_x
_atom_site_fract_y
_atom_site_fract_z
Pr1 Pr 0.0000 0.0435 0.2479
Pr2 Pr 0.0000 0.2399 0.5127
Pr3 Pr 0.2500 0.1073 0.7500
In1 In 0.2500 0.1701 0.2500
H1 H 0.0000 0.0893 0.5883
# crystal system	orthorhombic
# total magnetic moment	0.000	μB/f.u.

It turns out one is the most stable, with the second structure 93 meV per atom higher.

one:
# PBE-GGA In3HPt, relaxed
data_In3HPt
_space_group_name_H-M_alt 'P m -3 m'
_space_group_IT_number 221
_space_group_name_Hall '-P 4 2 3'
_cell_length_a 4.5266
_cell_length_b 4.5266
_cell_length_c 4.5266
_cell_angle_alpha 90.00
_cell_angle_beta 90.00
_cell_angle_gamma 90.00
loop_
_atom_site_label
_atom_site_type_symbol
_atom_site_fract_x
_atom_site_fract_y
_atom_site_fract_z
In1 In 0.0000 0.0000 0.5000
H1 H 0.0000 0.0000 0.0000
Pt1 Pt 0.5000 0.5000 0.5000
# crystal system	cubic
# total magnetic moment	0.000	μB/f.u.

two:
# PBE-GGA In3HPt, relaxed
data_In3HPt
_space_group_name_H-M_alt 'P m -3 m'
_space_group_IT_number 221
_space_group_name_Hall '-P 4 2 3'
_cell_length_a 5.1761
_cell_length_b 5.1761
_cell_length_c 5.1761
_cell_angle_alpha 90.00
_cell_angle_beta 90.00
_cell_angle_gamma 90.00
loop_
_atom_site_label
_atom_site_type_symbol
_atom_site_fract_x
_atom_site_fract_y
_atom_site_fract_z
In1 In 0.0000 0.0000 0.5000
H1 H 0.5000 0.5000 0.5000
Pt1 Pt 0.0000 0.0000 0.0000
# crystal system	cubic
# total magnetic moment	0.000	μB/f.u.

It turns out two is the most stable, with the second structure 85 meV per atom higher.